A plane-wave DFT calculation with PBE-GGA was carried out for a relaxed structure of CaCo2GeP.

Calculated values
**D(E_F)**: 1.1040 states/eV/atom
**ΔH_f (0 K)**: 0.572 eV/f.u.
**Space group**: P4/mmm (123)

a = 4.229 Å, b = 5.248 Å, c = 4.229 Å
α = 90.00°, β = 90.00°, γ = 90.00°
Element x y z (fractional)
Co (0.500, 0.000, 0.000)
Co (0.000, 0.000, 0.500)
Ca (0.000, 0.500, 0.000)
Ge (0.500, 0.500, 0.500)
P (0.000, 0.000, 0.000)



A plane-wave DFT calculation with PBE-GGA was carried out for a relaxed structure of Ca2Co2Ge2P.

Calculated values
**D(E_F)**: 0.7827 states/eV/atom
**ΔH_f (0 K)**: -2.507 eV/f.u.
**Space group**: I4/mmm (139)

a = 4.227 Å, b = 4.227 Å, c = 8.141 Å
α = 105.05°, β = 105.05°, γ = 90.00°
Element x y z (fractional)
Co (0.500, 0.000, 0.000)
Co (0.000, 0.500, 0.000)
Ca (0.823, 0.823, 0.646)
Ca (0.177, 0.177, 0.354)
P (0.000, 0.000, 0.000)
Ge (0.602, 0.602, 0.203)
Ge (0.398, 0.398, 0.797)



A plane-wave DFT calculation with PBE-GGA was carried out for a relaxed structure of CaPmCoGe.

Calculated values
**D(E_F)**: 0.4473 states/eV/atom
**ΔH_f (0 K)**: -0.880 eV/f.u.
**Space group**: F-43m (216)

a = 5.024 Å, b = 5.024 Å, c = 5.024 Å
α = 60.00°, β = 60.00°, γ = 60.00°
Element x y z (fractional)
Pm (0.000, 0.000, 0.000)
Co (0.750, 0.750, 0.750)
Ca (0.500, 0.500, 0.500)
Ge (0.250, 0.250, 0.250)



A plane-wave DFT calculation with PBE-GGA was carried out for a relaxed structure of CaCoGe2Pt.

Calculated values
**D(E_F)**: 0.4544 states/eV/atom
**ΔH_f (0 K)**: -3.000 eV/f.u.
**Space group**: I-4m2 (119)

a = 4.153 Å, b = 4.153 Å, c = 5.966 Å
α = 110.37°, β = 110.37°, γ = 90.00°
Element x y z (fractional)
Ge (0.375, 0.375, 0.750)
Ge (0.625, 0.625, 0.250)
Pt (0.750, 0.250, 0.500)
Ca (0.000, 0.000, 0.000)
Co (0.250, 0.750, 0.500)



A plane-wave DFT calculation with PBE-GGA was carried out for a relaxed structure of Ca2CoGe4Pt3.

Calculated values
**D(E_F)**: 0.5526 states/eV/atom
**ΔH_f (0 K)**: -7.029 eV/f.u.
**Space group**: P-4m2 (115)

a = 4.189 Å, b = 4.189 Å, c = 10.573 Å
α = 90.00°, β = 90.00°, γ = 90.00°
Element x y z (fractional)
Pt (0.000, 0.000, 0.500)
Pt (0.000, 0.500, 0.138)
Pt (0.500, 0.000, 0.862)
Co (0.500, 0.500, 0.500)
Ge (0.500, 0.000, 0.626)
Ge (0.000, 0.000, 0.000)
Ge (0.500, 0.500, 0.000)
Ge (0.000, 0.500, 0.374)
Ca (0.500, 0.000, 0.254)
Ca (0.000, 0.500, 0.746)



A plane-wave DFT calculation with PBE-GGA was carried out for a relaxed structure of Ca2CoGe3Pt4.

Calculated values
**D(E_F)**: 0.7125 states/eV/atom
**ΔH_f (0 K)**: -6.862 eV/f.u.
**Space group**: P-4m2 (115)

a = 4.166 Å, b = 4.166 Å, c = 10.690 Å
α = 90.00°, β = 90.00°, γ = 90.00°
Element x y z (fractional)
Ge (0.500, 0.000, 0.862)
Ge (0.000, 0.500, 0.138)
Ge (0.000, 0.000, 0.500)
Ca (0.000, 0.500, 0.744)
Ca (0.500, 0.000, 0.256)
Pt (0.000, 0.500, 0.367)
Pt (0.500, 0.000, 0.633)
Pt (0.500, 0.500, 0.000)
Pt (0.000, 0.000, 0.000)
Co (0.500, 0.500, 0.500)